{
  "formula": "Rb2Cd2Se",
  "functional": "PBE",
  "state": "relaxed",
  "e_above_lowest_polymorph_mev_per_atom": 0,
  "dft_energy_ev_per_atom": -1.7169,
  "raw_formation_energy_kj_per_mol_atoms": -25.75,
  "magmom_total_mub_per_fu": 0.00,
  "dos_ef_per_ev_cell": 4.8,
  "lattice_angstrom": [[-3.096, -6.157, 4.440], [1.003, -5.085, -6.352], [5.048, -1.245, 1.794]],
  "species": ["Cd", "Se", "Rb", "Rb", "Rb", "Rb", "Cd", "Cd", "Se", "Cd"],
  "fractional_positions": [[0.128, 0.372, 0.000], [0.500, 0.500, 0.000], [0.187, 0.687, 0.500], [0.813, 0.313, 0.500], [0.313, 0.187, 0.500], [0.687, 0.813, 0.500], [0.372, 0.872, 0.000], [0.872, 0.628, 0.000], [0.000, 0.000, 0.000], [0.628, 0.128, 0.000]]
}